Density functional theory data (GGA-PBE) for Ac5ErSn4 after structural relaxation.

Properties
* energy of formation: -0.485 eV per atom
* final energy: -45.97 eV for the cell shown
* M_tot: 0.00 μB/f.u.
* density of states at the Fermi level: 0.64 states/eV/atom

Cell: 9.2313 9.2313 7.7145 Å, 91.56 91.56 35.09°
Sites, in units of the cell vectors:
1 Ac 0.0000 0.0000 0.0000
2 Ac 0.3332 0.3332 0.4949
3 Ac 0.3363 0.3363 0.9962
4 Ac 0.6637 0.6637 0.0038
5 Ac 0.6668 0.6668 0.5051
6 Er 0.0000 0.0000 0.5000
7 Sn 0.1707 0.1707 0.7474
8 Sn 0.4934 0.4934 0.7304
9 Sn 0.5066 0.5066 0.2696
10 Sn 0.8293 0.8293 0.2526

Density functional theory data (GGA-PBE) for Cd2RuCl after structural relaxation.

Properties
* final energy: -23.71 eV for the cell shown
* formation energy without anion corrections: 0.27 eV/atom
* M_tot: 0.31 μB/f.u.
* density of states at the Fermi level: 0.61 states/eV/atom
* energy above the lowest structure with this stoichiometry: 255 meV/atom

Cell: 14.2795 2.8854 4.1721 Å, 90.00 106.94 90.00°
Sites, in units of the cell vectors:
1 Cd 0.1832 0.0000 0.1844
2 Cd 0.3168 0.5000 0.8156
3 Cd 0.6832 0.5000 0.1844
4 Cd 0.8168 0.0000 0.8156
5 Ru 0.0000 0.5000 0.0000
6 Ru 0.5000 0.0000 0.0000
7 Cl 0.0000 0.0000 0.5000
8 Cl 0.5000 0.5000 0.5000

Density functional theory data (GGA-PBE) for PAuNO2 after structural relaxation.

Properties
* final energy: -20.92 eV for the cell shown
* formation energy without anion corrections: 1.20 eV/atom
* M_tot: 0.00 μB/f.u.
* density of states at the Fermi level: 0.39 states/eV/atom

Cell: 3.8700 3.8700 3.6877 Å, 90.00 90.00 90.00°
Sites, in units of the cell vectors:
1 P 0.0000 0.0000 0.0000
2 Au 0.5000 0.5000 0.0000
3 N 0.0000 0.0000 0.5000
4 O 0.0000 0.5000 0.5000
5 O 0.5000 0.0000 0.5000

Density functional theory data (GGA-PBE) for Na3TmF6 after structural relaxation.

Properties
* final energy: -104.54 eV for the cell shown
* formation energy without anion corrections: -3.26 eV/atom
* M_tot: 0.00 μB/f.u.
* density of states at the Fermi level: 0.00 states/eV/atom
* energy above the lowest structure with this stoichiometry: 56 meV/atom

Cell: 6.1042 11.5108 3.9181 Å, 90.00 90.00 90.00°
Sites, in units of the cell vectors:
1 Na 0.0000 0.0000 0.0000
2 Na 0.0632 0.2403 0.5000
3 Na 0.4368 0.7403 0.0000
4 Na 0.5000 0.5000 0.5000
5 Na 0.5632 0.2597 0.0000
6 Na 0.9368 0.7597 0.5000
7 Tm 0.0000 0.5000 0.0000
8 Tm 0.5000 0.0000 0.5000
9 F 0.0678 0.6952 0.0000
10 F 0.1630 0.5600 0.5000
11 F 0.1735 0.9167 0.5000
12 F 0.3265 0.4167 0.0000
13 F 0.3370 0.0600 0.0000
14 F 0.4322 0.1952 0.5000
15 F 0.5678 0.8048 0.5000
16 F 0.6630 0.9400 0.0000
17 F 0.6735 0.5833 0.0000
18 F 0.8265 0.0833 0.5000
19 F 0.8370 0.4400 0.5000
20 F 0.9322 0.3048 0.0000

Density functional theory data (GGA-PBE) for Ca2HfC after structural relaxation.

Properties
* energy of formation: 0.413 eV per atom
* final energy: -86.11 eV for the cell shown
* M_tot: 0.00 μB/f.u.
* density of states at the Fermi level: 0.34 states/eV/atom

Cell: 9.8379 9.8379 4.3908 Å, 90.00 90.00 90.00°
Sites, in units of the cell vectors:
1 Ca 0.0915 0.2500 0.1250
2 Ca 0.2500 0.5915 0.3750
3 Ca 0.2500 0.9085 0.8750
4 Ca 0.4085 0.2500 0.6250
5 Ca 0.5915 0.7500 0.6250
6 Ca 0.7500 0.0915 0.8750
7 Ca 0.7500 0.4085 0.3750
8 Ca 0.9085 0.7500 0.1250
9 Hf 0.0000 0.0000 0.5000
10 Hf 0.0000 0.5000 0.7500
11 Hf 0.5000 0.0000 0.2500
12 Hf 0.5000 0.5000 0.0000
13 C 0.0000 0.0000 0.0000
14 C 0.0000 0.5000 0.2500
15 C 0.5000 0.0000 0.7500
16 C 0.5000 0.5000 0.5000

Density functional theory data (GGA-PBE) for Ac12InRu6 after structural relaxation.

Properties
* energy of formation: -0.155 eV per atom
* final energy: -110.64 eV for the cell shown
* M_tot: 0.00 μB/f.u.
* density of states at the Fermi level: 1.01 states/eV/atom

Cell: 9.3113 9.3113 9.3113 Å, 109.47 109.47 109.47°
Sites, in units of the cell vectors:
1 Ac 0.1167 0.8091 0.3076
2 Ac 0.1909 0.3076 0.4986
3 Ac 0.1909 0.6924 0.8833
4 Ac 0.3076 0.1167 0.8091
5 Ac 0.3076 0.4986 0.1909
6 Ac 0.4986 0.1909 0.3076
7 Ac 0.5014 0.8091 0.6924
8 Ac 0.6924 0.5014 0.8091
9 Ac 0.6924 0.8833 0.1909
10 Ac 0.8091 0.3076 0.1167
11 Ac 0.8091 0.6924 0.5014
12 Ac 0.8833 0.1909 0.6924
13 In 0.0000 0.0000 0.0000
14 Ru 0.1192 0.6192 0.5000
15 Ru 0.3808 0.5000 0.8808
16 Ru 0.5000 0.1192 0.6192
17 Ru 0.5000 0.8808 0.3808
18 Ru 0.6192 0.5000 0.1192
19 Ru 0.8808 0.3808 0.5000

- What is the final energy in the fifth record?
  -86.11 eV for the cell shown